1.
A geometry-optimized Mg3InIr structure. Source: the Alexandria database, functional PBE-GGA.

Geometry as POSCAR:
```
Mg3InIr
1.0
5.4471 0.0000 0.0000
0.0000 4.5873 0.0000
-2.2652 0.0000 7.5835
Mg In Ir
6 2 2
Direct
0.1313 0.2500 0.0893
0.1669 0.7500 0.6539
0.3525 0.2500 0.4763
0.6475 0.7500 0.5237
0.8331 0.2500 0.3461
0.8687 0.7500 0.9107
0.4755 0.2500 0.8626
0.5245 0.7500 0.1374
0.1085 0.7500 0.2937
0.8915 0.2500 0.7063
```

Values from the calculation:
- DFT formation energy: -0.25 eV/atom

2.
A geometry-optimized Pr2NdZn2 structure. Source: the Alexandria database, functional PBE-GGA.

Geometry as POSCAR:
```
Pr2NdZn2
1.0
3.7556 0.0000 0.0000
0.0000 5.3268 0.0000
-1.8846 0.0000 13.7911
Pr Nd Zn
4 2 4
Direct
0.0461 0.2500 0.0917
0.2313 0.2500 0.4633
0.7687 0.7500 0.5367
0.9539 0.7500 0.9083
0.1430 0.7500 0.2823
0.8570 0.2500 0.7177
0.3597 0.7500 0.7216
0.4499 0.2500 0.9015
0.5501 0.7500 0.0985
0.6403 0.2500 0.2784
```

Values from the calculation:
- DFT formation energy: -0.23 eV/atom

3.
A geometry-optimized GaTeSe2 structure. Source: the Alexandria database, functional PBE-GGA.

Geometry as POSCAR:
```
GaTeSe2
1.0
4.0010 0.0000 0.0000
0.5206 7.3281 0.0000
0.0692 1.9818 8.0884
Ga Te Se
2 2 4
Direct
0.0000 0.0000 0.0000
0.4654 0.2665 0.3131
0.4575 0.5996 0.3939
0.9638 0.2052 0.6698
0.4154 0.4515 0.7237
0.4791 0.9928 0.5503
0.5240 0.8003 0.0330
0.9647 0.2746 0.1264
```

Values from the calculation:
- Formation energy without anion corrections: -0.2872 eV/atom

4.
A geometry-optimized Tb19Sm4Th6 structure. Source: the Alexandria database, functional PBE-GGA.

Geometry as POSCAR:
```
Tb19Sm4Th6
1.0
-6.2518 6.2518 6.2518
6.2518 -6.2518 6.2518
6.2518 6.2518 -6.2518
Tb Sm Th
19 4 6
Direct
0.0000 0.0000 0.0000
0.0000 0.2652 0.2652
0.0000 0.7348 0.7348
0.0192 0.8058 0.3429
0.1942 0.2134 0.5371
0.2134 0.5371 0.1942
0.2652 0.0000 0.2652
0.2652 0.2652 0.0000
0.3237 0.7866 0.9808
0.3429 0.0192 0.8058
0.4629 0.6763 0.6571
0.5371 0.1942 0.2134
0.6571 0.4629 0.6763
0.6763 0.6571 0.4629
0.7348 0.0000 0.7348
0.7348 0.7348 0.0000
0.7866 0.9808 0.3237
0.8058 0.3429 0.0192
0.9808 0.3237 0.7866
0.0000 0.0000 0.6422
0.0000 0.6422 0.0000
0.3578 0.3578 0.3578
0.6422 0.0000 0.0000
0.1293 0.6293 0.5000
0.3707 0.5000 0.8707
0.5000 0.1293 0.6293
0.5000 0.8707 0.3707
0.6293 0.5000 0.1293
0.8707 0.3707 0.5000
```

Values from the calculation:
- DFT formation energy: 0.42 eV/atom